1.
Density functional theory data (GGA-PBE) for a geometry-optimized PuCuGeTe3 structure.

Summary:
E_tot (eV per atom): -5.85
Formation energy without anion corrections (eV/atom): -0.441

a b c (Å): 8.9070 4.1481 9.1895
angles (deg): 90.00 99.19 90.00
Last column: nearest neighbours and their distance in Å.
Space group P2_1/m (No. 11)
Inequivalent atoms, fractional coordinates:
Pu (0.1505, 0.2500, 0.2350)  7 Te 3.17-3.34, 3 Cu 3.29-3.51
Cu (0.0657, 0.2500, 0.5710)  2 Cu 2.62, 4 Te 2.64-2.69
Ge (0.3544, 0.7500, 0.8511)  5 Te 2.83-3.00
Te (0.1148, 0.2500, 0.8680)  1 Cu 2.69, 2 Ge 3.00
Te (0.2328, 0.7500, 0.5057)  3 Cu 2.64-2.68
Te (0.4071, 0.7500, 0.1632)  3 Ge 2.83-2.99



2.
Density functional theory data (GGA-PBE) for a geometry-optimized TmPu2Cu2Ge2 structure.

Summary:
Calculated formation energy (eV per formula unit): -1.9
E_tot (eV per atom): -7.50

a b c (Å): 4.0198 4.0198 26.3733
angles (deg): 90.00 90.00 120.00
Last column: nearest neighbours and their distance in Å.
Space group R-3m (No. 166, hexagonal axes)
Inequivalent atoms, fractional coordinates:
Tm (0.0000, 0.0000, 0.0000)  6 Ge 2.99, 6 Cu 3.07
Pu (0.0000, 0.0000, 0.1504)  3 Pu 2.47
Cu (0.0000, 0.0000, 0.4097)  3 Ge 2.32
Ge (0.0000, 0.0000, 0.2618)  3 Cu 2.32



3.
Density functional theory data (GGA-PBE) for a geometry-optimized YPuCu2Ge2 structure.

Summary:
Calculated formation energy (eV per formula unit): -3.1
E_tot (eV per atom): -6.88

a b c (Å): 4.2350 4.2350 7.5749
angles (deg): 90.00 90.00 120.00
Last column: nearest neighbours and their distance in Å.
Space group P-3m1 (No. 164)
Inequivalent atoms, fractional coordinates:
Y (0.0000, 0.0000, 0.0000)  6 Cu 3.05, 6 Ge 3.10
Pu (0.0000, 0.0000, 0.5000)  6 Ge 3.09, 6 Cu 3.14
Cu (0.3333, 0.6667, 0.2403)  3 Ge 2.45
Ge (0.3333, 0.6667, 0.7485)  3 Cu 2.45



4.
Density functional theory data (GGA-PBE) for a geometry-optimized Pu2ZnCu4Ge3 structure.

Summary:
Calculated formation energy (eV per formula unit): -2.7
E_tot (eV per atom): -6.28

a b c (Å): 4.1293 4.1293 10.1336
angles (deg): 90.00 90.00 90.00
Last column: nearest neighbours and their distance in Å.
Space group P-4m2 (No. 115)
Inequivalent atoms, fractional coordinates:
Pu (0.0000, 0.5000, 0.2443)  6 Ge 3.12-3.31, 8 Cu 3.18-3.22, 2 Zn 3.31
Zn (0.0000, 0.0000, 0.5000)  4 Cu 2.46
Cu (0.0000, 0.0000, 0.0000)  4 Ge 2.48
Cu (0.0000, 0.5000, 0.6318)  3 Ge 2.36-2.46, 2 Zn 2.46
Cu (0.5000, 0.5000, 0.0000)  4 Ge 2.48
Ge (0.0000, 0.5000, 0.8647)  5 Cu 2.36-2.48
Ge (0.5000, 0.5000, 0.5000)  4 Cu 2.46



5.
Density functional theory data (GGA-PBE) for a geometry-optimized PuZnCuGe structure.

Summary:
Calculated formation energy (eV per formula unit): -0.4
E_tot (eV per atom): -6.19

a b c (Å): 6.6305 6.6305 6.6305
angles (deg): 90.00 90.00 90.00
Last column: nearest neighbours and their distance in Å.
Space group F-43m (No. 216)
Inequivalent atoms, fractional coordinates:
Pu (0.0000, 0.0000, 0.0000)  4 Ge 2.87, 4 Cu 2.87
Zn (0.0000, 0.0000, 0.5000)  4 Ge 2.87, 4 Cu 2.87
Cu (0.2500, 0.2500, 0.2500)  4 Pu 2.87, 4 Zn 2.87
Ge (0.2500, 0.2500, 0.7500)  4 Pu 2.87, 4 Zn 2.87



6.
Density functional theory data (GGA-PBE) for a geometry-optimized RbCuGe2 structure.

Summary:
Relative energy among the computed polymorphs (meV per atom): 222
Calculated formation energy (eV per formula unit): 0.7
E_tot (eV per atom): -3.41

a b c (Å): 5.2453 5.2453 16.6155
angles (deg): 90.00 90.00 90.00
Last column: nearest neighbours and their distance in Å.
Space group I4_1/amd (No. 141, origin choice 2)
Inequivalent atoms, fractional coordinates:
Rb (0.0000, 0.2500, 0.3750)  8 Ge 3.59, 4 Cu 3.71
Cu (0.0000, 0.2500, 0.8750)  4 Ge 2.46
Ge (0.0000, 0.0000, 0.0000)  2 Cu 2.46, 2 Ge 2.62



7.
Density functional theory data (GGA-PBE) for a geometry-optimized RbCu9Ge4 structure.

Summary:
Calculated formation energy (eV per formula unit): -0.2
E_tot (eV per atom): -4.04

a b c (Å): 8.3730 8.3730 12.1457
angles (deg): 90.00 90.00 90.00
Last column: nearest neighbours and their distance in Å.
Space group I4/mcm (No. 140)
Inequivalent atoms, fractional coordinates:
Rb (0.0000, 0.0000, 0.2500)  8 Ge 3.46, 16 Cu 3.47-3.53
Cu (0.0000, 0.5000, 0.0000)  8 Cu 2.52-2.57, 4 Ge 2.58
Cu (0.0620, 0.2059, 0.0000)  6 Cu 2.52-2.75, 4 Ge 2.62-2.67
Cu (0.1161, 0.3839, 0.1787)  4 Ge 2.52-2.63, 6 Cu 2.57-2.75
Ge (0.1795, 0.3205, 0.3797)  9 Cu 2.52-2.67



8.
Density functional theory data (GGA-PBE) for a geometry-optimized RbCuGe2 structure.

Summary:
Relative energy among the computed polymorphs (meV per atom): 0
Calculated formation energy (eV per formula unit): -0.2
E_tot (eV per atom): -3.63

a b c (Å): 4.1339 4.1339 20.6785
angles (deg): 90.00 90.00 120.00
Last column: nearest neighbours and their distance in Å.
Space group R-3m (No. 166, hexagonal axes)
Inequivalent atoms, fractional coordinates:
Rb (0.0000, 0.0000, 0.0000)  6 Ge 3.56
Cu (0.0000, 0.0000, 0.5000)  6 Ge 2.52
Ge (0.0000, 0.0000, 0.2054)  3 Cu 2.52